# ScCd2Te

An optimized crystal structure of ScCd2Te (PBEsol, the Alexandria database).

a = 9.9114 Å, b = 9.9114 Å, c = 9.9114 Å
α = 19.56°, β = 19.56°, γ = 19.56°
Last column: nearest neighbours and their distance in Å.
Fractional positions:
Sc 0.0000 0.0000 0.0000  6 Cd 3.04, 6 Sc 3.37
Cd 0.2530 0.2530 0.2530  3 Sc 3.04, 3 Te 3.18, 6 Cd 3.37
Cd 0.7470 0.7470 0.7470  3 Sc 3.04, 3 Te 3.18, 6 Cd 3.37
Te 0.5000 0.5000 0.5000  6 Cd 3.18, 6 Te 3.37

DOS(E_F): 4.1 states/eV/f.u.
Spin magnetization: 0.00 μB/f.u.
Calculated total energy: -12.59 eV/f.u.
Crystal system: trigonal
V: 95 Å³/f.u.